Record 1
DFT (PBE) results for crystalline ScOsPt2 at its relaxed geometry.

Calculated formation energy: -78 meV per atom

a b c (Å): 3.908 3.908 18.378
angles (deg): 90.00 90.00 90.00
Space group I-42d (No. 122)
Unique sites:
Sc  0.000  0.000  0.000 (multiplicity 4)
Os  0.000  0.000  0.500 (multiplicity 4)
Pt  0.240  0.250  0.625 (multiplicity 8)

Record 2
DFT (PBE) results for crystalline ScOs2Pt at its relaxed geometry.

Calculated formation energy: 193 meV per atom

a b c (Å): 2.8215 2.8215 27.5195
angles (deg): 90.00 90.00 120.00
Space group R-3m (No. 166, hexagonal axes)
Unique sites:
Sc  0.0000  0.0000  0.0000 (multiplicity 3)
Os  0.0000  0.0000  0.2486 (multiplicity 6)
Pt  0.0000  0.0000  0.5000 (multiplicity 3)

Record 3
DFT (PBE) results for crystalline ScOsPt2 at its relaxed geometry.

Calculated formation energy: -446 meV per atom

a b c (Å): 9.370 2.841 4.905
angles (deg): 90.00 100.33 90.00
Space group Cm (No. 8)
Unique sites:
Sc  0.000  0.000  0.000 (multiplicity 2)
Os  0.251  0.000  0.707 (multiplicity 2)
Pt  0.008  0.500  0.514 (multiplicity 2)
Pt  0.251  0.500  0.231 (multiplicity 2)

Record 4
DFT (PBE) results for crystalline Sc3OsPt at its relaxed geometry.

Calculated formation energy: 322 meV per atom
Energy relative to the lowest polymorph listed for this composition: 344 meV per atom

a b c (Å): 4.913 4.913 4.913
angles (deg): 90.00 90.00 90.00
Space group Pm-3m (No. 221)
Unique sites:
Sc  0.000  0.000  0.500 (multiplicity 3)
Os  0.500  0.500  0.500 (multiplicity 1)
Pt  0.000  0.000  0.000 (multiplicity 1)

Record 5
DFT (PBE) results for crystalline Sc2OsPt at its relaxed geometry.

Calculated formation energy: -605 meV per atom
Energy relative to the lowest polymorph listed for this composition: 292 meV per atom

a b c (Å): 3.455 4.292 9.399
angles (deg): 90.00 90.00 90.00
Space group Imm2 (No. 44)
Unique sites:
Sc  0.000  0.000  0.000 (multiplicity 2)
Sc  0.000  0.500  0.232 (multiplicity 2)
Os  0.000  0.000  0.496 (multiplicity 2)
Pt  0.000  0.500  0.747 (multiplicity 2)

Record 6
DFT (PBE) results for crystalline ScOsPt at its relaxed geometry.

Calculated formation energy: 90 meV per atom
Energy relative to the lowest polymorph listed for this composition: 397 meV per atom

a b c (Å): 6.169 6.169 6.169
angles (deg): 90.00 90.00 90.00
Space group F-43m (No. 216)
Unique sites:
Sc  0.000  0.000  0.000 (multiplicity 4)
Os  0.000  0.000  0.500 (multiplicity 4)
Pt  0.250  0.250  0.250 (multiplicity 4)

Record 7
DFT (PBE) results for crystalline Sc4OsPt at its relaxed geometry.

Calculated formation energy: -571 meV per atom
Energy relative to the lowest polymorph listed for this composition: 0 meV per atom

a b c (Å): 7.907 4.572 7.754
angles (deg): 90.00 109.97 90.00
Space group C2/m (No. 12)
Unique sites:
Sc  0.122  0.000  0.367 (multiplicity 4)
Sc  0.128  0.500  0.884 (multiplicity 4)
Os  0.000  0.000  0.000 (multiplicity 2)
Pt  0.000  0.500  0.500 (multiplicity 2)

Record 8
DFT (PBE) results for crystalline ScOs2Pt at its relaxed geometry.

Calculated formation energy: -54 meV per atom

a b c (Å): 2.826 4.784 4.769
angles (deg): 90.00 92.51 90.00
Space group P2/m (No. 10)
Unique sites:
Sc  0.000  0.000  0.000 (multiplicity 1)
Os  0.327  0.500  0.753 (multiplicity 2)
Pt  0.500  0.000  0.500 (multiplicity 1)